K5Rb6 PBE relaxed; DOS(E_F) = 8.96 states/eV/f.u.; energy relative to the lowest polymorph listed for this composition = 6.1 meV/atom; calculated total energy = -11.0 eV per cell; formation energy = 0.30 eV/f.u.
1.0
3.9656 -8.4114 0.0000
3.9656 8.4114 0.0000
-0.1592 0.0000 13.8472
K Rb
5 6
direct
0.0000 0.0000 0.0000
0.2892 0.7108 0.0000
0.3682 0.6318 0.5000
0.6318 0.3682 0.5000
0.7108 0.2892 0.0000
0.1446 0.8437 0.3012
0.1563 0.8554 0.6988
0.4945 0.4945 0.1980
0.5055 0.5055 0.8020
0.8437 0.1446 0.3012
0.8554 0.1563 0.6988